(1)
First-principles (PBE) data for a geometry-optimized ScAsBr2N structure, as listed in Alexandria.

## Properties
- Size of the total moment: 0.1985 μB/atom
- Formation energy from raw total energies: 0.4079 eV per atom
- SG: No. 123
- Fermi-level density of states: 0.491 states/eV/cell

Cell lengths 5.249, 5.249, 5.557 Å; angles 90.00, 90.00, 90.00 degrees
Each line ends with the local moment (μB).
Element x y z (fractional)
1 Br 0.000 0.500 0.000  -0.05
2 Br 0.500 0.000 0.000  -0.05
3 Sc 0.000 0.000 0.000  -0.02
4 As 0.000 0.000 0.500  -0.71
5 N 0.500 0.500 0.500  1.85

(2)
First-principles (PBE) data for a geometry-optimized ScAsBr2N structure, as listed in Alexandria.

## Properties
- Size of the total moment: 0.0001 μB/atom
- Formation energy from raw total energies: 0.4840 eV per atom
- SG: No. 123
- Fermi-level density of states: 3.234 states/eV/cell

Cell lengths 4.508, 4.508, 4.735 Å; angles 90.00, 90.00, 90.00 degrees
Element x y z (fractional)
1 Br 0.500 0.000 0.000
2 Br 0.000 0.500 0.000
3 Sc 0.500 0.500 0.500
4 N 0.000 0.000 0.000
5 As 0.000 0.000 0.500

(3)
First-principles (PBE) data for a geometry-optimized ScAs2BrN structure, as listed in Alexandria.

## Properties
- Size of the total moment: 0.2012 μB/atom
- Formation energy from raw total energies: 0.9311 eV per atom
- SG: No. 123
- Fermi-level density of states: 2.344 states/eV/cell

Cell lengths 5.258, 5.258, 5.290 Å; angles 90.00, 90.00, 90.00 degrees
Each line ends with the local moment (μB).
Element x y z (fractional)
1 Br 0.000 0.000 0.500  -0.14
2 As 0.500 0.000 0.000  -0.35
3 As 0.000 0.500 0.000  -0.35
4 Sc 0.000 0.000 0.000  0.00
5 N 0.500 0.500 0.500  1.82

(4)
First-principles (PBE) data for a geometry-optimized AsSe2BrN structure, as listed in Alexandria.

## Properties
- Size of the total moment: 0.5203 μB/atom
- Formation energy from raw total energies: 1.3438 eV per atom
- SG: No. 123
- Fermi-level density of states: 5.586 states/eV/cell

Cell lengths 5.032, 5.032, 5.448 Å; angles 90.00, 90.00, 90.00 degrees
Each line ends with the local moment (μB).
Element x y z (fractional)
1 Br 0.000 0.000 0.500  0.02
2 N 0.500 0.500 0.500  1.89
3 Se 0.500 0.000 0.000  -0.09
4 Se 0.000 0.500 0.000  -0.09
5 As 0.000 0.000 0.000  0.02

Polymorph energy (0 for the lowest one) for every record listed, in sequence, given in meV/atom: 0.0; 76.2; 588.2; 347.5.
Mass density for every record listed, in sequence, given in g/cm3: 3.19; 5.07; 3.28; 3.93.